Entry 1:
The following is a DFT calculation (PBE-GGA) of an optimized crystal structure of Tm2ZnGe. Values from VASP.

Geometry as Quantum ESPRESSO input:
```
&SYSTEM
  ibrav = 0, nat = 4, ntyp = 3
/
ATOMIC_SPECIES
Tm 168.93 Tm.upf
Zn 65.41 Zn.upf
Ge 72.64 Ge.upf
ATOMIC_POSITIONS crystal
Tm 0.2469 0.2469 0.2469
Tm 0.7531 0.7531 0.7531
Zn 0.0000 0.0000 0.0000
Ge 0.5000 0.5000 0.5000
CELL_PARAMETERS angstrom
2.2643 1.3073 5.2923
-2.2643 1.3073 5.2923
0.0000 -2.6146 5.2923
```

Computed properties:
formation enthalpy at 0 K	-0.44	eV per atom

=====

Entry 2:
The following is a DFT calculation (PBE-GGA) of an optimized crystal structure of BeAg3F. Values from VASP.

Geometry as Quantum ESPRESSO input:
```
&SYSTEM
  ibrav = 0, nat = 5, ntyp = 3
/
ATOMIC_SPECIES
Be 9.01 Be.upf
Ag 107.87 Ag.upf
F 19.00 F.upf
ATOMIC_POSITIONS crystal
Be 0.0000 0.0000 0.0000
Ag 0.0000 0.0000 0.5000
Ag 0.0000 0.5000 0.0000
Ag 0.5000 0.0000 0.0000
F 0.5000 0.5000 0.5000
CELL_PARAMETERS angstrom
4.4416 0.0000 0.0000
0.0000 4.4416 0.0000
0.0000 0.0000 4.4416
```

Computed properties:
polymorph energy (0 for the lowest one)	0.00	eV per formula unit
ΔE_f (raw)	0.85	eV per formula unit

=====

Entry 3:
The following is a DFT calculation (PBE-GGA) of an optimized crystal structure of CsInAgCl6. Values from VASP.

Geometry as Quantum ESPRESSO input:
```
&SYSTEM
  ibrav = 0, nat = 9, ntyp = 4
/
ATOMIC_SPECIES
Cs 132.91 Cs.upf
In 114.82 In.upf
Ag 107.87 Ag.upf
Cl 35.45 Cl.upf
ATOMIC_POSITIONS crystal
Cs 0.0000 0.0000 0.0000
In 0.6580 0.3420 0.4998
Ag 0.3146 0.6857 0.5000
Cl 0.3560 0.0317 0.6673
Cl 0.3635 0.4050 0.3069
Cl 0.5954 0.6360 0.6929
Cl 0.6226 0.0481 0.2822
Cl 0.9525 0.3765 0.7169
Cl 0.9681 0.6445 0.3326
CELL_PARAMETERS angstrom
6.6952 0.0000 0.0000
-2.8706 6.0526 0.0000
-0.2987 -0.4605 7.7219
```

Computed properties:
ΔE_f (raw)	-9.61	eV per formula unit

=====

Entry 4:
The following is a DFT calculation (PBE-GGA) of an optimized crystal structure of AcTlO4. Values from VASP.

Geometry as Quantum ESPRESSO input:
```
&SYSTEM
  ibrav = 0, nat = 6, ntyp = 3
/
ATOMIC_SPECIES
Ac 227.00 Ac.upf
Tl 204.38 Tl.upf
O 16.00 O.upf
ATOMIC_POSITIONS crystal
Ac 0.0000 0.0000 0.0000
Tl 0.5000 0.5000 0.5000
O 0.0020 0.5419 0.7345
O 0.4986 0.9386 0.2768
O 0.5014 0.0614 0.7232
O 0.9980 0.4581 0.2655
CELL_PARAMETERS angstrom
4.2771 0.0000 0.0000
0.0048 4.3810 0.0000
0.0164 0.4809 5.1953
```

Computed properties:
polymorph energy (0 for the lowest one)	1.33	eV per formula unit
ΔE_f (raw)	-8.07	eV per formula unit

=====

Entry 5:
The following is a DFT calculation (PBE-GGA) of an optimized crystal structure of BaHgSbI2. Values from VASP.

Geometry as Quantum ESPRESSO input:
```
&SYSTEM
  ibrav = 0, nat = 5, ntyp = 4
/
ATOMIC_SPECIES
Ba 137.33 Ba.upf
Hg 200.59 Hg.upf
Sb 121.76 Sb.upf
I 126.90 I.upf
ATOMIC_POSITIONS crystal
Ba 0.0000 0.0000 0.0000
Hg 0.5000 0.5000 0.5000
Sb 0.0000 0.0000 0.5000
I 0.0000 0.5000 0.0000
I 0.5000 0.0000 0.0000
CELL_PARAMETERS angstrom
6.6854 0.0000 0.0000
0.0000 6.6854 0.0000
0.0000 0.0000 7.7862
```

Computed properties:
polymorph energy (0 for the lowest one)	0.41	eV per formula unit
ΔE_f (raw)	-1.71	eV per formula unit

=====

Entry 6:
The following is a DFT calculation (PBE-GGA) of an optimized crystal structure of Tc4HgAu. Values from VASP.

Geometry as Quantum ESPRESSO input:
```
&SYSTEM
  ibrav = 0, nat = 6, ntyp = 3
/
ATOMIC_SPECIES
Tc 98.00 Tc.upf
Hg 200.59 Hg.upf
Au 196.97 Au.upf
ATOMIC_POSITIONS crystal
Tc 0.1245 0.1245 0.1245
Tc 0.1245 0.1245 0.6266
Tc 0.1245 0.6266 0.1245
Tc 0.6266 0.1245 0.1245
Hg 0.5000 0.5000 0.5000
Au 0.7500 0.7500 0.7500
CELL_PARAMETERS angstrom
0.0000 3.6893 3.6893
3.6893 0.0000 3.6893
3.6893 3.6893 0.0000
```

Computed properties:
formation enthalpy at 0 K	0.61	eV per atom

=====

Entry 7:
The following is a DFT calculation (PBE-GGA) of an optimized crystal structure of YMnSi. Values from VASP.

Geometry as Quantum ESPRESSO input:
```
&SYSTEM
  ibrav = 0, nat = 3, ntyp = 3
/
ATOMIC_SPECIES
Y 88.91 Y.upf
Mn 54.94 Mn.upf
Si 28.09 Si.upf
ATOMIC_POSITIONS crystal
Y 0.0000 0.0000 0.0000
Mn 0.5000 0.5000 0.5000
Si 0.7500 0.7500 0.7500
CELL_PARAMETERS angstrom
0.0000 3.2039 3.2039
3.2039 0.0000 3.2039
3.2039 3.2039 0.0000
```

Computed properties:
ΔE_f (raw)	-0.49	eV per formula unit

=====

Entry 8:
The following is a DFT calculation (PBE-GGA) of an optimized crystal structure of AcPaSiO6. Values from VASP.

Geometry as Quantum ESPRESSO input:
```
&SYSTEM
  ibrav = 0, nat = 9, ntyp = 4
/
ATOMIC_SPECIES
Ac 227.00 Ac.upf
Pa 231.04 Pa.upf
Si 28.09 Si.upf
O 16.00 O.upf
ATOMIC_POSITIONS crystal
Ac 0.0000 0.0000 0.0000
Pa 0.3333 0.6667 0.5000
Si 0.6667 0.3333 0.5000
O 0.3930 0.0481 0.6990
O 0.3930 0.3449 0.3010
O 0.6551 0.0481 0.3010
O 0.6551 0.6070 0.6990
O 0.9519 0.3449 0.6990
O 0.9519 0.6070 0.3010
CELL_PARAMETERS angstrom
5.3715 0.0000 0.0000
-2.6857 4.6518 0.0000
0.0000 0.0000 5.3162
```

Computed properties:
ΔE_f (raw)	-28.45	eV per formula unit

=====

Entry 9:
The following is a DFT calculation (PBE-GGA) of an optimized crystal structure of VIrSN2. Values from VASP.

Geometry as Quantum ESPRESSO input:
```
&SYSTEM
  ibrav = 0, nat = 5, ntyp = 4
/
ATOMIC_SPECIES
V 50.94 V.upf
Ir 192.22 Ir.upf
S 32.06 S.upf
N 14.01 N.upf
ATOMIC_POSITIONS crystal
V 0.0000 0.0000 0.0000
Ir 0.5000 0.5000 0.5000
S 0.5000 0.5000 0.0000
N 0.0000 0.5000 0.5000
N 0.5000 0.0000 0.5000
CELL_PARAMETERS angstrom
3.6656 0.0000 0.0000
0.0000 3.6656 0.0000
0.0000 0.0000 7.2870
```

Computed properties:
polymorph energy (0 for the lowest one)	0.00	eV per formula unit
ΔE_f (raw)	3.88	eV per formula unit

=====

Entry 10:
The following is a DFT calculation (PBE-GGA) of an optimized crystal structure of Be2FeAg. Values from VASP.

Geometry as Quantum ESPRESSO input:
```
&SYSTEM
  ibrav = 0, nat = 4, ntyp = 3
/
ATOMIC_SPECIES
Be 9.01 Be.upf
Fe 55.84 Fe.upf
Ag 107.87 Ag.upf
ATOMIC_POSITIONS crystal
Be 0.0000 0.0000 0.0000
Be 0.7773 0.2773 0.5000
Fe 0.5313 0.5313 0.0000
Ag 0.2523 0.7523 0.5000
CELL_PARAMETERS angstrom
-1.3440 1.9946 4.2035
1.3440 -1.9946 4.2035
1.3440 1.9946 -4.2035
```

Computed properties:
formation enthalpy at 0 K	0.22	eV per atom
polymorph energy (0 for the lowest one)	0.86	eV per formula unit

=====

Entry 11:
The following is a DFT calculation (PBE-GGA) of an optimized crystal structure of ZnCo2Os. Values from VASP.

Geometry as Quantum ESPRESSO input:
```
&SYSTEM
  ibrav = 0, nat = 4, ntyp = 3
/
ATOMIC_SPECIES
Zn 65.41 Zn.upf
Co 58.93 Co.upf
Os 190.23 Os.upf
ATOMIC_POSITIONS crystal
Zn 0.0000 0.0000 0.0000
Co 0.2458 0.2458 0.7985
Co 0.5085 0.5085 0.5061
Os 0.7643 0.7643 0.3165
CELL_PARAMETERS angstrom
4.3111 -1.3036 0.0000
4.3111 1.3036 0.0000
-0.8536 0.0000 4.3703
```

Computed properties:
formation enthalpy at 0 K	0.12	eV per atom

=====

Entry 12:
The following is a DFT calculation (PBE-GGA) of an optimized crystal structure of NiSn2BiPt. Values from VASP.

Geometry as Quantum ESPRESSO input:
```
&SYSTEM
  ibrav = 0, nat = 5, ntyp = 4
/
ATOMIC_SPECIES
Ni 58.69 Ni.upf
Sn 118.71 Sn.upf
Bi 208.98 Bi.upf
Pt 195.08 Pt.upf
ATOMIC_POSITIONS crystal
Ni 0.0000 0.0000 0.0000
Sn 0.0000 0.5000 0.5000
Sn 0.5000 0.0000 0.5000
Bi 0.5000 0.5000 0.0000
Pt 0.5000 0.5000 0.5000
CELL_PARAMETERS angstrom
5.0773 0.0000 0.0000
0.0000 5.0773 0.0000
0.0000 0.0000 5.6480
```

Computed properties:
formation enthalpy at 0 K	0.60	eV per atom